[1]
Entry from Alexandria via LeMat-Bulk: an optimized crystal structure of Ba2SrTl (GGA-PBEsol).

a = 7.747 Å, b = 7.747 Å, c = 7.747 Å
α = 148.35°, β = 131.75°, γ = 58.86°
Sites, in units of the cell vectors:
1 Ba 0.000 0.000 0.000
2 Ba 0.697 0.197 0.500
3 Sr 0.299 0.799 0.500
4 Tl 0.491 0.491 0.000

Computed properties:
* formation energy: -86 kJ/mol of formula units
* ΔE to the lowest computed polymorph: 15 meV/atom
* symmetry: No. 44

***

[2]
Entry from Alexandria via LeMat-Bulk: an optimized crystal structure of Cs2NiPdF (GGA-PBEsol).

a = 5.848 Å, b = 5.848 Å, c = 4.173 Å
α = 90.00°, β = 90.00°, γ = 90.00°
Sites, in units of the cell vectors:
1 Cs 0.000 0.500 0.000
2 Cs 0.500 0.000 0.000
3 Ni 0.000 0.000 0.500
4 Pd 0.500 0.500 0.500
5 F 0.500 0.500 0.000

Computed properties:
* E_form (uncorrected): -0.082 eV per atom
* symmetry: No. 123

***

[3]
Entry from Alexandria via LeMat-Bulk: an optimized crystal structure of CdAsP2 (GGA-PBEsol).

a = 3.208 Å, b = 3.208 Å, c = 6.735 Å
α = 90.00°, β = 90.00°, γ = 90.00°
Sites, in units of the cell vectors:
1 Cd 0.000 0.000 0.000
2 As 0.000 0.000 0.500
3 P 0.500 0.500 0.279
4 P 0.500 0.500 0.721

Computed properties:
* formation energy: 179 kJ/mol of formula units
* ΔE to the lowest computed polymorph: 0 meV/atom
* symmetry: No. 123

***

[4]
Entry from Alexandria via LeMat-Bulk: an optimized crystal structure of MnIrW2 (GGA-PBEsol).

a = 2.756 Å, b = 2.756 Å, c = 7.349 Å
α = 90.00°, β = 90.00°, γ = 90.00°
Sites, in units of the cell vectors:
1 Mn 0.000 0.000 0.000
2 Ir 0.000 0.000 0.500
3 W 0.500 0.500 0.232
4 W 0.500 0.500 0.768

Computed properties:
* formation energy: 4 kJ/mol of formula units
* ΔE to the lowest computed polymorph: 31 meV/atom
* symmetry: No. 123

***

[5]
Entry from Alexandria via LeMat-Bulk: an optimized crystal structure of AlPIrCl2 (GGA-PBEsol).

a = 4.330 Å, b = 4.330 Å, c = 5.041 Å
α = 90.00°, β = 90.00°, γ = 90.00°
Sites, in units of the cell vectors:
1 Al 0.000 0.000 0.000
2 P 0.000 0.000 0.500
3 Ir 0.500 0.500 0.500
4 Cl 0.000 0.500 0.000
5 Cl 0.500 0.000 0.000

Computed properties:
* E_form (uncorrected): 0.670 eV per atom
* symmetry: No. 123

***

[6]
Entry from Alexandria via LeMat-Bulk: an optimized crystal structure of BeTlMo4 (GGA-PBEsol).

a = 5.206 Å, b = 5.206 Å, c = 5.206 Å
α = 60.00°, β = 60.00°, γ = 60.00°
Sites, in units of the cell vectors:
1 Be 0.000 0.000 0.000
2 Tl 0.250 0.250 0.250
3 Mo 0.123 0.626 0.626
4 Mo 0.626 0.123 0.626
5 Mo 0.626 0.626 0.123
6 Mo 0.626 0.626 0.626

Computed properties:
* formation energy: 454 kJ/mol of formula units
* symmetry: No. 216

***

What are the E_tot values for these records? In order: -2.41 -3.27 -4.01 -11.79 -4.07 -8.17 eV per atom.
What are the total magnetic moment values for these records? In order: 0.00 0.98 0.00 0.00 1.72 0.00 μB per cell.